NaFeOF2: relaxed, PBE+U.

The offset from the most stable computed form is 0.0 meV/atom.

The space group is P4/mmm (No. 123) and the conventional cell measures 4.095, 4.095 and 3.781 Å, with angles of 90.00, 90.00 and 90.00 degrees. Symmetry generates all atoms from Na at (0.000, 0.000, 0.000), Fe at (0.500, 0.500, 0.500), O at (0.500, 0.500, 0.000) and F at (0.000, 0.500, 0.500).